Record 1
This record from the Alexandria database describes a geometry-optimized Ca2CrCd structure. The functional is PBE.

a b c (Å): 5.2672 5.2672 5.2672
angles (deg): 60.00 60.00 60.00
With the nearest neighbours (Å) after each atom.
Positions (direct):
Cr: 0.7500 0.7500 0.7500  4 Cd 3.23, 4 Ca 3.23
Ca: 0.2500 0.2500 0.2500  4 Cd 3.23, 4 Ca 3.23
Ca: 0.0000 0.0000 0.0000  4 Cr 3.23, 4 Ca 3.23
Cd: 0.5000 0.5000 0.5000  4 Ca 3.23, 4 Cr 3.23

Output
space group = No. 216
crystal system = cubic
E_tot = -13.55 eV for the cell shown
ΔH_f (0 K) = 0.25 eV per atom
magnetic moment = 4.82 μB per cell

---

Record 2
This record from the Alexandria database describes a geometry-optimized CaCr2Cd structure. The functional is PBE.

a b c (Å): 9.8235 9.8235 9.8235
angles (deg): 19.39 19.39 19.39
With the nearest neighbours (Å) after each atom.
Positions (direct):
Cd: 0.7500 0.7500 0.7500  6 Cr 2.92
Cr: 0.4932 0.4932 0.4932  3 Cd 2.92, 3 Ca 3.23
Cr: 0.0068 0.0068 0.0068  3 Cd 2.92, 3 Ca 3.23
Ca: 0.2500 0.2500 0.2500  6 Cr 3.23, 6 Ca 3.31

Output
space group = No. 166
crystal system = trigonal
E_tot = -18.93 eV for the cell shown
ΔH_f (0 K) = 0.81 eV per atom
magnetic moment = 8.17 μB per cell

---

Record 3
This record from the Alexandria database describes a geometry-optimized CaCr2Cd structure. The functional is PBE.

a b c (Å): 4.2168 4.2168 10.4578
angles (deg): 78.37 78.37 90.00
With the nearest neighbours (Å) after each atom.
Positions (direct):
Cr: 0.3750 0.1250 0.7500  2 Cr 2.11
Cr: 0.8750 0.1250 0.2500  2 Cr 2.11
Cr: 0.8750 0.6250 0.2500  2 Cr 2.11
Cr: 0.8750 0.1250 0.7500  2 Cr 2.11
Cd: 0.0000 0.0000 0.0000  4 Cr 2.72, 4 Ca 2.98
Cd: 0.7500 0.2500 0.5000  4 Cr 2.72, 4 Ca 2.98
Ca: 0.5000 0.5000 0.0000  4 Cd 2.98
Ca: 0.2500 0.7500 0.5000  4 Cd 2.98

Output
space group = No. 141
crystal system = tetragonal
E_tot = -36.72 eV for the cell shown
ΔH_f (0 K) = 0.95 eV per atom
magnetic moment = 1.80 μB per cell

---

Record 4
This record from the Alexandria database describes a geometry-optimized Ca2CrCd structure. The functional is PBE.

a b c (Å): 10.1178 10.1178 10.1178
angles (deg): 21.33 21.33 21.33
With the nearest neighbours (Å) after each atom.
Positions (direct):
Ca: 0.4997 0.4997 0.4997  3 Cr 3.28, 3 Cd 3.29
Ca: 0.0003 0.0003 0.0003  3 Cr 3.28, 3 Cd 3.29
Cr: 0.7500 0.7500 0.7500  6 Ca 3.28
Cd: 0.2500 0.2500 0.2500  6 Ca 3.29

Output
space group = No. 166
crystal system = trigonal
E_tot = -12.96 eV for the cell shown
ΔH_f (0 K) = 0.39 eV per atom
magnetic moment = 4.38 μB per cell

---

Record 5
This record from the Alexandria database describes a geometry-optimized Ca2CrCd structure. The functional is PBE.

a b c (Å): 4.9153 3.9698 6.3173
angles (deg): 71.83 90.00 90.00
With the nearest neighbours (Å) after each atom.
Positions (direct):
Ca: 0.5000 0.2755 0.3229  3 Cr 3.28-3.38, 4 Cd 3.31-3.32
Ca: 0.0000 0.9744 0.9272  3 Cd 3.29-3.38, 4 Cr 3.31-3.32
Cd: 0.0000 0.6918 0.4907  2 Cr 2.94, 2 Ca 3.29
Cr: 0.5000 0.5583 0.7592  2 Cd 2.94, 2 Ca 3.28-3.29

Output
space group = No. 6
crystal system = monoclinic
E_tot = -13.84 eV for the cell shown
ΔH_f (0 K) = 0.17 eV per atom
magnetic moment = 4.71 μB per cell

---

Record 6
This record from the Alexandria database describes a geometry-optimized CaCr2Cd structure. The functional is PBE.

a b c (Å): 5.8538 5.8538 3.1397
angles (deg): 77.32 77.32 115.90
With the nearest neighbours (Å) after each atom.
Positions (direct):
Cr: 0.5000 0.5000 0.0000  2 Cd 3.00, 2 Ca 3.00, 4 Cr 3.11-3.14
Cr: 0.0000 0.0000 0.0000  2 Ca 3.00, 2 Cd 3.00, 4 Cr 3.11-3.14
Ca: 0.5000 0.0000 0.5000  4 Cr 3.00, 2 Cd 3.11, 2 Ca 3.14
Cd: 0.0000 0.5000 0.5000  4 Cr 3.00, 2 Ca 3.11, 2 Cd 3.14

Output
space group = No. 12
crystal system = monoclinic
E_tot = -19.25 eV for the cell shown
ΔH_f (0 K) = 0.73 eV per atom
magnetic moment = 8.27 μB per cell

---

Record 7
This record from the Alexandria database describes a geometry-optimized Ca3CrCd structure. The functional is PBE.

a b c (Å): 5.7378 5.7378 5.7378
angles (deg): 90.00 90.00 90.00
With the nearest neighbours (Å) after each atom.
Positions (direct):
Cd: 0.5000 0.5000 0.5000  12 Ca 4.06
Ca: 0.0000 0.5000 0.0000  2 Cr 2.87
Ca: 0.5000 0.0000 0.0000  2 Cr 2.87
Ca: 0.0000 0.0000 0.5000  2 Cr 2.87
Cr: 0.0000 0.0000 0.0000  6 Ca 2.87

Output
space group = No. 221
crystal system = cubic
offset from the most stable computed form = 0.000 eV/atom
E_tot = -13.95 eV for the cell shown
ΔH_f (0 K) = 0.52 eV per atom
magnetic moment = 4.00 μB per cell

---

Record 8
This record from the Alexandria database describes a geometry-optimized Ca4CrCd structure. The functional is PBE.

a b c (Å): 6.6581 6.6581 6.6581
angles (deg): 60.00 60.00 60.00
With the nearest neighbours (Å) after each atom.
Positions (direct):
Cr: 0.0000 0.0000 0.0000  12 Ca 3.90, 4 Cd 4.08
Ca: 0.3749 0.3749 0.8753  6 Ca 3.33
Ca: 0.3749 0.8753 0.3749  6 Ca 3.33
Ca: 0.3749 0.3749 0.3749  6 Ca 3.33
Ca: 0.8753 0.3749 0.3749  6 Ca 3.33
Cd: 0.7500 0.7500 0.7500  12 Ca 3.90, 4 Cr 4.08

Output
space group = No. 216
crystal system = cubic
E_tot = -14.98 eV for the cell shown
ΔH_f (0 K) = 0.59 eV per atom
magnetic moment = 4.68 μB per cell